No. 1
This record from Alexandria via LeMat-Bulk describes crystalline Na3SnSb3 at its relaxed geometry. The functional is PBE-GGA.

extended XYZ file:
```
14
Lattice="4.6341 -5.3237 0.0000 4.6341 5.3237 0.0000 -0.5050 0.0000 9.2872" Properties=species:S:1:pos:R:3 pbc="T T T"
Na 4.6341 3.2962 0.0000
Na 4.3816 2.4572 4.6436
Na 4.1742 0.0000 7.3954
Na 4.5890 0.0000 1.8918
Na 4.3816 -2.4572 4.6436
Na 4.6341 -3.2962 0.0000
Sn 1.3622 0.0000 3.4685
Sn 7.4010 0.0000 5.8186
Sb 2.3594 2.3697 2.1797
Sb 1.1147 0.0000 6.4318
Sb 2.3594 -2.3697 2.1797
Sb 6.4038 2.3697 7.1075
Sb 7.6485 0.0000 2.8554
Sb 6.4038 -2.3697 7.1075
```

Output
**Symmetry**: No. 12
**E_form (uncorrected)**: -184 meV/atom
**ρ**: 4.01 g/cm3

---

No. 2
This record from Alexandria via LeMat-Bulk describes crystalline Na5Sn12Sb3 at its relaxed geometry. The functional is PBE-GGA.

extended XYZ file:
```
80
Lattice="-9.1803 9.1803 9.1803 9.1803 -9.1803 9.1803 9.1803 9.1803 -9.1803" Properties=species:S:1:pos:R:3 pbc="T T T"
Na 0.0000 0.0000 0.0000
Na 4.5901 4.5901 -4.5901
Na 4.5901 -4.5901 4.5901
Na 9.1803 0.0000 0.0000
Na 13.7704 2.2951 0.0000
Na 9.1803 -4.5901 6.8852
Na 6.8852 9.1803 -4.5901
Na 6.8852 0.0000 4.5901
Na 4.5901 6.8852 0.0000
Na 9.1803 4.5901 2.2951
Na -4.5901 4.5901 4.5901
Na 0.0000 9.1803 0.0000
Na 0.0000 0.0000 9.1803
Na 4.5901 4.5901 4.5901
Na 0.0000 4.5901 6.8852
Na 4.5901 2.2951 9.1803
Na 2.2951 9.1803 4.5901
Na 2.2951 0.0000 13.7704
Na 0.0000 13.7704 2.2951
Na -4.5901 6.8852 9.1803
Sn 11.9323 -0.1238 1.4307
Sn 11.0184 -3.1594 4.4663
Sn 9.3041 -1.4307 2.7520
Sn 13.6466 -1.8381 3.1594
Sn 2.7520 0.1238 1.4307
Sn 11.0184 6.0208 -4.4663
Sn 6.0208 4.4663 -1.8381
Sn 7.7496 2.7520 -0.1238
Sn 1.4307 2.7520 0.1238
Sn 12.3397 4.7139 -1.8381
Sn 0.1238 1.4307 2.7520
Sn 4.4663 -1.8381 6.0208
Sn 9.3041 7.7496 -2.7520
Sn 4.4663 1.8381 3.1594
Sn 3.1594 4.4663 1.8381
Sn 10.6110 6.4283 -0.1238
Sn 6.0208 -4.4663 11.0184
Sn 7.7496 -2.7520 9.3041
Sn 1.8381 3.1594 4.4663
Sn 2.7520 -0.1238 7.7496
Sn 4.4663 11.0184 -3.1594
Sn 9.3041 1.4307 6.4283
Sn 2.7520 9.3041 -1.4307
Sn 11.0184 3.1594 4.7139
Sn -1.8381 6.0208 4.4663
Sn 6.4283 -0.1238 10.6110
Sn -0.1238 7.7496 2.7520
Sn 4.7139 -1.8381 12.3397
Sn 6.4283 9.3041 1.4307
Sn 7.3421 6.0208 4.7139
Sn 1.4307 11.9323 -0.1238
Sn 3.1594 13.6466 -1.8381
Sn -1.4307 2.7520 9.3041
Sn 6.0208 4.7139 7.3421
Sn 4.7139 7.3421 6.0208
Sn -0.1238 1.4307 11.9323
Sn 4.7139 11.0184 3.1594
Sn 9.0565 7.7496 6.4283
Sn -3.1594 4.4663 11.0184
Sn 7.7496 6.4283 9.0565
Sn 1.4307 6.4283 9.3041
Sn 3.1594 4.7139 11.0184
Sn -1.8381 3.1594 13.6466
Sn 6.4283 9.0565 7.7496
Sn -4.4663 11.0184 6.0208
Sn -0.1238 10.6110 6.4283
Sn -1.8381 12.3397 4.7139
Sn -2.7520 9.3041 7.7496
Sb 4.5901 2.2951 0.0000
Sb 9.1803 4.5901 -2.2951
Sb 2.2951 0.0000 4.5901
Sb 11.4753 0.0000 4.5901
Sb 0.0000 4.5901 2.2951
Sb 4.5901 -2.2951 9.1803
Sb 4.5901 11.4753 0.0000
Sb 9.1803 4.5901 6.8852
Sb -2.2951 9.1803 4.5901
Sb 6.8852 9.1803 4.5901
Sb 0.0000 4.5901 11.4753
Sb 4.5901 6.8852 9.1803
```

Output
**Symmetry**: No. 230
**E_form (uncorrected)**: 91 meV/atom
**ρ**: 4.09 g/cm3

---

No. 3
This record from Alexandria via LeMat-Bulk describes crystalline Na2SnSb3 at its relaxed geometry. The functional is PBE-GGA.

extended XYZ file:
```
12
Lattice="7.4155 -4.3620 0.0000 7.4155 4.3620 0.0000 0.0000 0.0000 6.2199" Properties=species:S:1:pos:R:3 pbc="T T T"
Na 2.6534 1.5022 1.5550
Na 2.6534 -1.5022 4.6649
Na 12.1777 1.5022 1.5550
Na 12.1777 -1.5022 4.6649
Sn 7.4155 1.3587 1.5550
Sn 7.4155 -1.3587 4.6649
Sb 7.4155 4.2387 1.5550
Sb 5.1764 0.0000 0.0000
Sb 5.1764 0.0000 3.1099
Sb 9.6547 0.0000 0.0000
Sb 9.6547 0.0000 3.1099
Sb 7.4155 -4.2387 4.6649
```

Output
**Symmetry**: No. 63
**E_form (uncorrected)**: -102 meV/atom
**ρ**: 4.37 g/cm3
**Distance to the lowest polymorph of the same formula**: 21 meV per atom

---

No. 4
This record from Alexandria via LeMat-Bulk describes crystalline NaSnSb3 at its relaxed geometry. The functional is PBE-GGA.

extended XYZ file:
```
5
Lattice="5.4154 0.0000 0.0000 0.0000 5.4154 0.0000 0.0000 0.0000 5.4154" Properties=species:S:1:pos:R:3 pbc="T T T"
Na 0.0000 0.0000 0.0000
Sn 2.7077 2.7077 2.7077
Sb 0.0000 0.0000 2.7077
Sb 0.0000 2.7077 0.0000
Sb 2.7077 0.0000 0.0000
```

Output
**Symmetry**: No. 221
**E_form (uncorrected)**: 717 meV/atom
**ρ**: 5.30 g/cm3
**Distance to the lowest polymorph of the same formula**: 236 meV per atom

---

No. 5
This record from Alexandria via LeMat-Bulk describes crystalline Na3SnSb at its relaxed geometry. The functional is PBE-GGA.

extended XYZ file:
```
5
Lattice="5.7901 0.0000 0.0000 0.0000 5.7901 0.0000 0.0000 0.0000 5.7901" Properties=species:S:1:pos:R:3 pbc="T T T"
Na 0.0000 0.0000 2.8950
Na 0.0000 2.8950 0.0000
Na 2.8950 0.0000 0.0000
Sn 2.8950 2.8950 2.8950
Sb 0.0000 0.0000 0.0000
```

Output
**Symmetry**: No. 221
**E_form (uncorrected)**: 160 meV/atom
**ρ**: 2.65 g/cm3
**Distance to the lowest polymorph of the same formula**: 349 meV per atom

---

No. 6
This record from Alexandria via LeMat-Bulk describes crystalline NaSn4Sb2 at its relaxed geometry. The functional is PBE-GGA.

extended XYZ file:
```
7
Lattice="5.1905 0.0000 0.0000 -2.2007 4.8119 0.0000 -1.2504 -2.5191 7.8797" Properties=species:S:1:pos:R:3 pbc="T T T"
Na 0.0000 0.0000 0.0000
Sn -0.3658 0.2608 3.5549
Sn 0.0286 3.3692 2.1253
Sn 1.7108 -1.0765 5.7544
Sn 2.1052 2.0320 4.3248
Sb -0.9059 0.6322 6.5725
Sb 2.6453 1.6606 1.3073
```

Output
**Symmetry**: No. 2
**E_form (uncorrected)**: -19 meV/atom
**ρ**: 6.26 g/cm3

---

No. 7
This record from Alexandria via LeMat-Bulk describes crystalline Na6Sn3Sb at its relaxed geometry. The functional is PBE-GGA.

extended XYZ file:
```
20
Lattice="9.4967 0.0000 0.0000 0.0000 6.2262 0.0000 -8.9040 0.0000 10.3161" Properties=species:S:1:pos:R:3 pbc="T T T"
Na -2.8474 0.4466 4.2546
Na -7.2994 2.6666 9.4127
Na -1.3584 3.4635 4.6874
Na -5.8105 5.8758 9.8455
Na 1.4927 4.6098 2.4785
Na -2.9593 4.7296 7.6366
Na 3.5520 1.4967 2.6795
Na -0.9000 1.6164 7.8376
Na 6.4031 0.3504 0.4706
Na 1.9511 2.7627 5.6287
Na 7.8921 3.5597 0.9034
Na 3.4400 5.7797 6.0615
Sn 0.2087 1.4714 2.6817
Sn -4.2433 1.6417 7.8398
Sn 0.2963 0.0000 5.1580
Sn 4.7483 3.1131 0.0000
Sn 4.8359 4.5845 2.4763
Sn 0.3839 4.7548 7.6344
Sb 0.0000 0.0000 0.0000
Sb -4.4520 3.1131 5.1580
```

Output
**Symmetry**: No. 14
**E_form (uncorrected)**: -187 meV/atom
**ρ**: 3.35 g/cm3

---

No. 8
This record from Alexandria via LeMat-Bulk describes crystalline NaSn5Sb4 at its relaxed geometry. The functional is PBE-GGA.

extended XYZ file:
```
20
Lattice="10.0782 0.0000 0.0000 0.0000 11.1667 0.0000 0.0000 0.0000 6.3803" Properties=species:S:1:pos:R:3 pbc="T T T"
Na 2.5196 2.7917 0.8835
Na 7.5587 8.3751 5.4968
Sn 0.2190 5.8138 1.6641
Sn 0.2190 10.9363 1.6641
Sn 2.5196 8.3751 4.5206
Sn 4.8201 5.8138 1.6641
Sn 4.8201 10.9363 1.6641
Sn 5.2581 0.2304 4.7163
Sn 5.2581 5.3530 4.7163
Sn 7.5587 2.7917 1.8597
Sn 9.8592 0.2304 4.7163
Sn 9.8592 5.3530 4.7163
Sb 0.1496 2.7917 3.1637
Sb 2.5196 5.7886 6.0013
Sb 2.5196 10.9615 6.0013
Sb 4.8895 2.7917 3.1637
Sb 5.1887 8.3751 3.2166
Sb 7.5587 0.2052 0.3791
Sb 7.5587 5.3782 0.3791
Sb 9.9286 8.3751 3.2166
```

Output
**Symmetry**: No. 59
**E_form (uncorrected)**: 75 meV/atom
**ρ**: 5.10 g/cm3

---

The lowest ρ belongs to which entry?
Na3SnSb

---

E_form (uncorrected) of number 5 (Na3SnSb)?
160 meV/atom

---

Repeat the fifth record exactly.
This record from Alexandria via LeMat-Bulk describes crystalline Na3SnSb at its relaxed geometry. The functional is PBE-GGA.

extended XYZ file:
```
5
Lattice="5.7901 0.0000 0.0000 0.0000 5.7901 0.0000 0.0000 0.0000 5.7901" Properties=species:S:1:pos:R:3 pbc="T T T"
Na 0.0000 0.0000 2.8950
Na 0.0000 2.8950 0.0000
Na 2.8950 0.0000 0.0000
Sn 2.8950 2.8950 2.8950
Sb 0.0000 0.0000 0.0000
```

Output
**Symmetry**: No. 221
**E_form (uncorrected)**: 160 meV/atom
**ρ**: 2.65 g/cm3
**Distance to the lowest polymorph of the same formula**: 349 meV per atom

---

Look up the ρ of the fifth one.
2.65 g/cm3